# Cs3MnTe2O8

Cs3MnTe2O8 after structural relaxation (PBE with a Hubbard U, the Alexandria database).

Geometry as extended XYZ:
```
14
Lattice="6.156 0.000 0.000 -3.078 5.331 0.000 0.000 0.000 8.405" Properties=species:S:1:pos:R:3 pbc="T T T"
Cs 0.000 0.000 0.000
Cs 0.000 3.554 6.691
Cs 3.078 1.777 1.714
Mn 0.000 0.000 4.203
Te 0.000 3.554 2.985
Te 3.078 1.777 5.420
O 0.000 1.546 2.971
O -1.739 4.558 2.971
O 1.339 0.773 5.434
O 0.000 3.554 1.120
O 3.078 1.777 7.285
O 1.739 4.558 2.971
O 4.817 0.773 5.434
O 3.078 3.785 5.434
```

VASP energy   -5.234 eV per atom